Record 1
Below is crystalline MnNF3 at its relaxed geometry, with properties calculated at the PBE with a Hubbard U level.

Values from the calculation:
Final energy: -4.380 eV/atom
Energy above the lowest structure with this stoichiometry: 766.5 meV per atom
Total moment: 1.059 μB per atom

Structure (POSCAR):
```
MnNF3
1.0
3.8895 0.0000 0.0000
0.0000 3.8895 0.0000
0.0000 0.0000 3.8895
Mn N F
1 1 3
Direct
0.0000 0.0000 0.0000
0.5000 0.5000 0.5000
0.0000 0.5000 0.5000
0.5000 0.0000 0.5000
0.5000 0.5000 0.0000
```

Record 2
Below is crystalline MnN2F at its relaxed geometry, with properties calculated at the PBE with a Hubbard U level.

Values from the calculation:
Final energy: -5.351 eV/atom
Energy above the lowest structure with this stoichiometry: 79.6 meV per atom
Total moment: 0.097 μB per atom

Structure (POSCAR):
```
MnN2F
1.0
2.8737 0.0000 0.0000
-1.4369 2.4887 0.0000
0.0000 0.0000 16.4203
Mn N F
3 6 3
Direct
0.0000 0.0000 0.0000
0.3333 0.6667 0.6667
0.6667 0.3333 0.3333
0.0000 0.0000 0.3925
0.0000 0.0000 0.6075
0.3333 0.6667 0.0592
0.3333 0.6667 0.2742
0.6667 0.3333 0.7258
0.6667 0.3333 0.9408
0.0000 0.0000 0.5000
0.3333 0.6667 0.1667
0.6667 0.3333 0.8333
```

Record 3
Below is crystalline MnN2F8 at its relaxed geometry, with properties calculated at the PBE with a Hubbard U level.

Values from the calculation:
Final energy: -4.440 eV/atom
Total moment: 0.455 μB per atom

Structure (POSCAR):
```
MnN2F8
1.0
5.6412 -2.7640 0.0000
5.6412 2.7640 0.0000
-3.8161 0.0000 11.8139
Mn N F
2 4 16
Direct
0.1984 0.8016 0.7500
0.8016 0.1984 0.2500
0.2666 0.3242 0.4442
0.3242 0.2666 0.9442
0.6758 0.7334 0.0558
0.7334 0.6758 0.5558
0.0885 0.1570 0.7976
0.1551 0.5376 0.9376
0.1570 0.0885 0.2976
0.1779 0.5374 0.3957
0.3344 0.4922 0.6472
0.4624 0.8449 0.5624
0.4626 0.8221 0.1043
0.4922 0.3344 0.1472
0.5078 0.6656 0.8528
0.5374 0.1779 0.8957
0.5376 0.1551 0.4376
0.6656 0.5078 0.3528
0.8221 0.4626 0.6043
0.8430 0.9115 0.7024
0.8449 0.4624 0.0624
0.9115 0.8430 0.2024
```

Record 4
Below is crystalline MnN2F at its relaxed geometry, with properties calculated at the PBE with a Hubbard U level.

Values from the calculation:
Final energy: -5.431 eV/atom
Energy above the lowest structure with this stoichiometry: 0.0 meV per atom
Total moment: 0.000 μB per atom

Structure (POSCAR):
```
MnN2F
1.0
4.8484 0.0000 0.0000
0.0000 4.8484 0.0000
0.0000 0.0000 8.2169
Mn N F
4 8 4
Direct
0.0000 0.0000 0.0000
0.0000 0.5000 0.2500
0.5000 0.0000 0.7500
0.5000 0.5000 0.5000
0.1289 0.2500 0.1250
0.2500 0.6289 0.3750
0.2500 0.8711 0.8750
0.3711 0.2500 0.6250
0.6289 0.7500 0.6250
0.7500 0.1289 0.8750
0.7500 0.3711 0.3750
0.8711 0.7500 0.1250
0.0000 0.0000 0.5000
0.0000 0.5000 0.7500
0.5000 0.0000 0.2500
0.5000 0.5000 0.0000
```

Record 5
Below is crystalline MnNF3 at its relaxed geometry, with properties calculated at the PBE with a Hubbard U level.

Values from the calculation:
Final energy: -5.124 eV/atom
Energy above the lowest structure with this stoichiometry: 22.5 meV per atom
Total moment: 1.400 μB per atom

Structure (POSCAR):
```
MnNF3
1.0
5.6979 0.0000 0.0000
0.0000 5.6979 0.0000
0.0000 0.0000 3.9409
Mn N F
2 2 6
Direct
0.0000 0.5000 0.0000
0.5000 0.0000 0.0000
0.0000 0.0000 0.5000
0.5000 0.5000 0.5000
0.0000 0.5000 0.5000
0.2335 0.2665 0.0000
0.2665 0.7665 0.0000
0.5000 0.0000 0.5000
0.7335 0.2335 0.0000
0.7665 0.7335 0.0000
```

Record 6
Below is crystalline Mn2NF at its relaxed geometry, with properties calculated at the PBE with a Hubbard U level.

Values from the calculation:
Final energy: -6.730 eV/atom
Total moment: 2.500 μB per atom

Structure (POSCAR):
```
Mn2NF
1.0
5.6930 0.0000 0.0000
0.0000 5.6930 0.0000
0.0000 0.0000 5.6930
Mn N F
8 4 4
Direct
0.2500 0.2500 0.2500
0.2500 0.2500 0.7500
0.2500 0.7500 0.2500
0.2500 0.7500 0.7500
0.7500 0.2500 0.2500
0.7500 0.2500 0.7500
0.7500 0.7500 0.2500
0.7500 0.7500 0.7500
0.0000 0.0000 0.0000
0.0000 0.5000 0.5000
0.5000 0.0000 0.5000
0.5000 0.5000 0.0000
0.0000 0.0000 0.5000
0.0000 0.5000 0.0000
0.5000 0.0000 0.0000
0.5000 0.5000 0.5000
```

- What is the total moment in the third record?
  0.455 μB per atom

- What is the formula in the sixth record?
  Mn2NF

- Among the records above, which one has the lowest total moment?
  number 4